Record 1
Material: Te2PF
Method: DFT, PBEsol
State: relaxed

- calculated density (kg/m3) = 6372
- raw formation energy (eV/atom) = -0.122
- Fermi-level density of states (states/eV/cell) = 2.2

Cell: 3.1361 3.1361 9.5108 Å, 80.51 80.51 60.00°
Fractional positions:
P 0.0000 0.0000 0.0000
Te 0.9071 0.9071 0.2787
Te 0.0929 0.0929 0.7213
F 0.5000 0.5000 0.5000

Record 2
Material: TeP2F
Method: DFT, PBEsol
State: relaxed

- calculated density (kg/m3) = 5344
- raw formation energy (eV/atom) = 0.116
- Fermi-level density of states (states/eV/cell) = 2.6

Cell: 4.5084 4.5084 4.5084 Å, 60.00 60.00 60.00°
Fractional positions:
P 0.2500 0.2500 0.2500
P 0.7500 0.7500 0.7500
Te 0.5000 0.5000 0.5000
F 0.0000 0.0000 0.0000

Record 3
Material: ZrTeP2F
Method: DFT, PBEsol
State: relaxed

- calculated density (kg/m3) = 4754
- raw formation energy (eV/atom) = -0.764
- Fermi-level density of states (states/eV/cell) = 2.0

Cell: 4.0407 5.0905 5.0905 Å, 90.00 90.00 90.00°
Fractional positions:
P 0.0000 0.0000 0.5000
P 0.0000 0.5000 0.0000
Te 0.5000 0.5000 0.5000
Zr 0.0000 0.0000 0.0000
F 0.5000 0.0000 0.0000

Record 4
Material: TiP2F
Method: DFT, PBEsol
State: relaxed

- calculated density (kg/m3) = 3999
- raw formation energy (eV/atom) = -0.430
- Fermi-level density of states (states/eV/cell) = 4.4

Cell: 4.2291 4.2291 4.2291 Å, 60.00 60.00 60.00°
Fractional positions:
P 0.2500 0.2500 0.2500
P 0.7500 0.7500 0.7500
F 0.0000 0.0000 0.0000
Ti 0.5000 0.5000 0.5000

Record 5
Material: TlPF6
Method: DFT, PBEsol
State: relaxed

- calculated density (kg/m3) = 4916
- raw formation energy (eV/atom) = -2.521
- Fermi-level density of states (states/eV/cell) = 0.0

Cell: 7.7859 7.7859 7.7859 Å, 90.00 90.00 90.00°
Fractional positions:
F 0.3676 0.8534 0.4303
F 0.1324 0.1466 0.9303
F 0.6324 0.3534 0.0697
F 0.8676 0.6466 0.5697
F 0.5697 0.8676 0.6466
F 0.0697 0.6324 0.3534
F 0.9303 0.1324 0.1466
F 0.4303 0.3676 0.8534
F 0.3534 0.0697 0.6324
F 0.6466 0.5697 0.8676
F 0.8534 0.4303 0.3676
F 0.1466 0.9303 0.1324
F 0.6324 0.1466 0.5697
F 0.8676 0.8534 0.0697
F 0.3676 0.6466 0.9303
F 0.1324 0.3534 0.4303
F 0.4303 0.1324 0.3534
F 0.9303 0.3676 0.6466
F 0.0697 0.8676 0.8534
F 0.5697 0.6324 0.1466
F 0.6466 0.9303 0.3676
F 0.3534 0.4303 0.1324
F 0.1466 0.5697 0.6324
F 0.8534 0.0697 0.8676
P 0.5000 0.0000 0.5000
P 0.0000 0.0000 0.0000
P 0.5000 0.5000 0.0000
P 0.0000 0.5000 0.5000
Tl 0.0000 0.5000 0.0000
Tl 0.5000 0.5000 0.5000
Tl 0.0000 0.0000 0.5000
Tl 0.5000 0.0000 0.0000

Record 6
Material: TlPF6
Method: DFT, PBEsol
State: relaxed

- calculated density (kg/m3) = 4894
- raw formation energy (eV/atom) = -2.521
- Fermi-level density of states (states/eV/cell) = 0.0

Cell: 5.3357 5.3357 5.7102 Å, 62.15 62.15 60.00°
Fractional positions:
P 0.0000 0.0000 0.0000
Tl 0.5000 0.5000 0.5000
F 0.0789 0.0789 0.1955
F 0.0789 0.6466 0.1955
F 0.6466 0.0789 0.1955
F 0.3534 0.9211 0.8045
F 0.9211 0.3534 0.8045
F 0.9211 0.9211 0.8045